Entry 1:
Material: CsLaGe3
Method: DFT, PBE
State: relaxed

```
data_CsLaGe3
_cell_length_a 5.5494
_cell_length_b 5.5494
_cell_length_c 5.5494
_cell_angle_alpha 90.00
_cell_angle_beta 90.00
_cell_angle_gamma 90.00
_space_group_name_H-M_alt 'P m -3 m'
_space_group_IT_number 221
_space_group_name_Hall '-P 4 2 3'
loop_
_atom_site_label
_atom_site_fract_x
_atom_site_fract_y
_atom_site_fract_z
Cs1 0.0000 0.0000 0.0000
La1 0.5000 0.5000 0.5000
Ge1 0.0000 0.0000 0.5000
```

- Energy of formation: 1.2108 eV per atom
- Energy above the most stable polymorph in this dataset: 0.773 eV/atom



Entry 2:
Material: ScOsNO2
Method: DFT, PBE
State: relaxed

```
data_ScOsNO2
_cell_length_a 3.9784
_cell_length_b 3.9784
_cell_length_c 3.7581
_cell_angle_alpha 90.00
_cell_angle_beta 90.00
_cell_angle_gamma 90.00
_space_group_name_H-M_alt 'P 4/m m m'
_space_group_IT_number 123
_space_group_name_Hall '-P 4 2'
loop_
_atom_site_label
_atom_site_fract_x
_atom_site_fract_y
_atom_site_fract_z
Sc1 0.0000 0.0000 0.0000
Os1 0.5000 0.5000 0.5000
N1 0.5000 0.5000 0.0000
O1 0.0000 0.5000 0.5000
```

- Energy relative to the elements, uncorrected: -0.796 eV/atom



Entry 3:
Material: BaOsPt
Method: DFT, PBE
State: relaxed

```
data_BaOsPt
_cell_length_a 6.7398
_cell_length_b 6.7398
_cell_length_c 6.7398
_cell_angle_alpha 90.00
_cell_angle_beta 90.00
_cell_angle_gamma 90.00
_space_group_name_H-M_alt 'F -4 3 m'
_space_group_IT_number 216
_space_group_name_Hall 'F -4 2 3'
loop_
_atom_site_label
_atom_site_fract_x
_atom_site_fract_y
_atom_site_fract_z
Ba1 0.0000 0.0000 0.0000
Os1 0.2500 0.2500 0.7500
Pt1 0.0000 0.0000 0.5000
```

- Energy of formation: 1.0190 eV per atom
- Energy above the most stable polymorph in this dataset: 1.078 eV/atom



Entry 4:
Material: CsK2Mg2
Method: DFT, PBE
State: relaxed

```
data_CsK2Mg2
_cell_length_a 4.4848
_cell_length_b 4.4848
_cell_length_c 29.1516
_cell_angle_alpha 90.00
_cell_angle_beta 90.00
_cell_angle_gamma 90.00
_space_group_name_H-M_alt 'I 4/m m m'
_space_group_IT_number 139
_space_group_name_Hall '-I 4 2'
loop_
_atom_site_label
_atom_site_fract_x
_atom_site_fract_y
_atom_site_fract_z
Cs1 0.0000 0.0000 0.0000
K1 0.0000 0.0000 0.3586
Mg1 0.0000 0.5000 0.2500
```

- Energy of formation: 0.1899 eV per atom
- Energy above the most stable polymorph in this dataset: 0.000 eV/atom



Entry 5:
Material: Pr2GaFe2Rh5
Method: DFT, PBE
State: relaxed

```
data_Pr2GaFe2Rh5
_cell_length_a 9.7067
_cell_length_b 9.7067
_cell_length_c 3.6830
_cell_angle_alpha 90.00
_cell_angle_beta 90.00
_cell_angle_gamma 90.00
_space_group_name_H-M_alt 'P 4/m b m'
_space_group_IT_number 127
_space_group_name_Hall '-P 4 2ab'
loop_
_atom_site_label
_atom_site_fract_x
_atom_site_fract_y
_atom_site_fract_z
Pr1 0.1790 0.3210 0.0000
Ga1 0.0000 0.0000 0.0000
Fe1 0.1209 0.6209 0.0000
Rh1 0.0000 0.5000 0.5000
Rh2 0.0612 0.7954 0.5000
```

- Energy of formation: -0.3307 eV per atom



Entry 6:
Material: FeHg3Br
Method: DFT, PBE
State: relaxed

```
data_FeHg3Br
_cell_length_a 6.1007
_cell_length_b 6.1007
_cell_length_c 6.1007
_cell_angle_alpha 90.00
_cell_angle_beta 90.00
_cell_angle_gamma 90.00
_space_group_name_H-M_alt 'P m -3 m'
_space_group_IT_number 221
_space_group_name_Hall '-P 4 2 3'
loop_
_atom_site_label
_atom_site_fract_x
_atom_site_fract_y
_atom_site_fract_z
Fe1 0.0000 0.0000 0.0000
Hg1 0.0000 0.5000 0.5000
Br1 0.5000 0.5000 0.5000
```

- Energy relative to the elements, uncorrected: 1.017 eV/atom
- Energy above the most stable polymorph in this dataset: 0.769 eV/atom



Entry 7:
Material: Ti3BeI
Method: DFT, PBE
State: relaxed

```
data_Ti3BeI
_cell_length_a 4.4879
_cell_length_b 4.4879
_cell_length_c 4.4879
_cell_angle_alpha 90.00
_cell_angle_beta 90.00
_cell_angle_gamma 90.00
_space_group_name_H-M_alt 'P m -3 m'
_space_group_IT_number 221
_space_group_name_Hall '-P 4 2 3'
loop_
_atom_site_label
_atom_site_fract_x
_atom_site_fract_y
_atom_site_fract_z
Ti1 0.0000 0.0000 0.5000
Be1 0.0000 0.0000 0.0000
I1 0.5000 0.5000 0.5000
```

- Energy relative to the elements, uncorrected: 0.452 eV/atom
- Energy above the most stable polymorph in this dataset: 0.000 eV/atom



Entry 8:
Material: Pm4RuN
Method: DFT, PBE
State: relaxed

```
data_Pm4RuN
_cell_length_a 9.0646
_cell_length_b 9.0646
_cell_length_c 7.8188
_cell_angle_alpha 90.00
_cell_angle_beta 90.00
_cell_angle_gamma 90.00
_space_group_name_H-M_alt 'I 41 m d'
_space_group_IT_number 109
_space_group_name_Hall 'I 4bw -2'
loop_
_atom_site_label
_atom_site_fract_x
_atom_site_fract_y
_atom_site_fract_z
Pm1 0.0000 0.3062 0.0000
Pm2 0.0000 0.3104 0.4601
Ru1 0.0000 0.0000 0.4820
N1 0.0000 0.0000 0.9635
```

- Energy relative to the elements, uncorrected: -0.465 eV/atom



Entry 9:
Material: Zn3SeS
Method: DFT, PBE
State: relaxed

```
data_Zn3SeS
_cell_length_a 4.9027
_cell_length_b 4.9027
_cell_length_c 4.9027
_cell_angle_alpha 90.00
_cell_angle_beta 90.00
_cell_angle_gamma 90.00
_space_group_name_H-M_alt 'P m -3 m'
_space_group_IT_number 221
_space_group_name_Hall '-P 4 2 3'
loop_
_atom_site_label
_atom_site_fract_x
_atom_site_fract_y
_atom_site_fract_z
Zn1 0.0000 0.0000 0.5000
Se1 0.0000 0.0000 0.0000
S1 0.5000 0.5000 0.5000
```

- Energy relative to the elements, uncorrected: 0.345 eV/atom
- Energy above the most stable polymorph in this dataset: 0.212 eV/atom



Entry 10:
Material: PrEuOs4
Method: DFT, PBE
State: relaxed

```
data_PrEuOs4
_cell_length_a 7.6923
_cell_length_b 7.6923
_cell_length_c 7.6923
_cell_angle_alpha 90.00
_cell_angle_beta 90.00
_cell_angle_gamma 90.00
_space_group_name_H-M_alt 'F -4 3 m'
_space_group_IT_number 216
_space_group_name_Hall 'F -4 2 3'
loop_
_atom_site_label
_atom_site_fract_x
_atom_site_fract_y
_atom_site_fract_z
Pr1 0.0000 0.0000 0.0000
Eu1 0.2500 0.2500 0.2500
Os1 0.1248 0.1248 0.6248
```

- Energy of formation: 0.0492 eV per atom



Entry 11:
Material: Pr3Ho2Zn3
Method: DFT, PBE
State: relaxed

```
data_Pr3Ho2Zn3
_cell_length_a 3.6874
_cell_length_b 5.3559
_cell_length_c 21.8328
_cell_angle_alpha 90.00
_cell_angle_beta 90.00
_cell_angle_gamma 90.00
_space_group_name_H-M_alt 'I m m m'
_space_group_IT_number 71
_space_group_name_Hall '-I 2 2'
loop_
_atom_site_label
_atom_site_fract_x
_atom_site_fract_y
_atom_site_fract_z
Pr1 0.0000 0.0000 0.0000
Pr2 0.0000 0.5000 0.1199
Ho1 0.0000 0.0000 0.2303
Zn1 0.0000 0.0000 0.5000
Zn2 0.0000 0.5000 0.3795
```

- Energy of formation: -0.2281 eV per atom



Entry 12:
Material: SbBrF3
Method: DFT, PBE
State: relaxed

```
data_SbBrF3
_cell_length_a 4.5702
_cell_length_b 4.5702
_cell_length_c 4.5702
_cell_angle_alpha 90.00
_cell_angle_beta 90.00
_cell_angle_gamma 90.00
_space_group_name_H-M_alt 'P m -3 m'
_space_group_IT_number 221
_space_group_name_Hall '-P 4 2 3'
loop_
_atom_site_label
_atom_site_fract_x
_atom_site_fract_y
_atom_site_fract_z
Sb1 0.0000 0.0000 0.0000
Br1 0.5000 0.5000 0.5000
F1 0.0000 0.5000 0.5000
```

- Energy relative to the elements, uncorrected: -0.174 eV/atom
- Energy above the most stable polymorph in this dataset: 1.642 eV/atom



Number 1: total moment 0.0 Bohr magnetons per cell. Number 2: total moment 0.0 Bohr magnetons per cell. Number 3: total moment 7.6 Bohr magnetons per cell. Number 4: total moment 0.0 Bohr magnetons per cell. Number 5: total moment 14.8 Bohr magnetons per cell. Number 6: total moment 4.1 Bohr magnetons per cell. Number 7: total moment 0.0 Bohr magnetons per cell. Number 8: total moment 0.0 Bohr magnetons per cell. Number 9: total moment 0.0 Bohr magnetons per cell. Number 10: total moment 22.6 Bohr magnetons per cell. Number 11: total moment 0.0 Bohr magnetons per cell. Number 12: total moment 0.0 Bohr magnetons per cell.